No. 1
The following is a SCAN calculation of a crystal of TcSbAu2O relaxed with PBEsol, from the Alexandria database.

POSCAR file:
```
TcSbAu2O
1.0
5.040 0.000 0.000
0.000 5.040 0.000
0.000 0.000 5.319
Sb Au Tc O
1 2 1 1
Direct
0.000 0.000 0.000 Sb
0.000 0.500 0.000 Au
0.500 0.000 0.000 Au
0.000 0.000 0.500 Tc
0.500 0.500 0.500 O
```

Properties
Formation energy (no corrections)   1278 meV per atom
Calculated volume   27.03 Å³/atom
VASP energy   -42.09 eV per atom
Spin magnetization   6.0 μB/cell

***

No. 2
The following is a SCAN calculation of a crystal of Au2Se2O7 relaxed with PBEsol, from the Alexandria database.

POSCAR file:
```
Au2Se2O7
1.0
-2.062 1.727 3.037
-5.265 -4.473 -1.031
4.753 -7.293 7.373
Au Se O
4 4 14
Direct
0.498 0.693 0.436 Au
0.498 0.307 0.564 Au
0.498 0.807 0.936 Au
0.498 0.193 0.064 Au
0.237 0.605 0.172 Se
0.237 0.395 0.828 Se
0.237 0.895 0.672 Se
0.237 0.105 0.328 Se
0.802 0.500 0.500 O
0.802 0.000 0.000 O
0.147 0.875 0.375 O
0.147 0.125 0.625 O
0.147 0.625 0.875 O
0.147 0.375 0.125 O
0.480 0.533 0.291 O
0.480 0.467 0.709 O
0.573 0.339 0.917 O
0.573 0.661 0.083 O
0.573 0.161 0.417 O
0.573 0.839 0.583 O
0.480 0.033 0.209 O
0.480 0.967 0.791 O
```

Properties
Formation energy (no corrections)   -536 meV per atom
Calculated volume   14.69 Å³/atom
VASP energy   -20.73 eV per atom
Spin magnetization   0.1 μB/cell

***

No. 3
The following is a SCAN calculation of a crystal of Au2Se3O10 relaxed with PBEsol, from the Alexandria database.

POSCAR file:
```
Au2Se3O10
1.0
6.299 0.000 0.000
0.000 8.447 0.000
-3.150 0.000 8.478
Au Se O
4 6 20
Direct
0.358 0.182 0.682 Au
0.642 0.682 0.318 Au
0.324 0.682 0.682 Au
0.676 0.182 0.318 Au
0.345 0.037 0.000 Se
0.137 0.803 0.324 Se
0.187 0.303 0.324 Se
0.655 0.537 0.000 Se
0.813 0.803 0.676 Se
0.863 0.303 0.676 Se
0.017 0.660 0.695 O
0.724 0.856 0.477 O
0.962 0.647 0.337 O
0.256 0.219 0.000 O
0.402 0.509 0.842 O
0.624 0.647 0.663 O
0.818 0.388 0.000 O
0.323 0.660 0.305 O
0.561 0.509 0.158 O
0.247 0.856 0.523 O
0.677 0.160 0.695 O
0.753 0.356 0.477 O
0.038 0.147 0.663 O
0.376 0.147 0.337 O
0.744 0.719 0.000 O
0.182 0.888 0.000 O
0.276 0.356 0.523 O
0.598 0.009 0.158 O
0.983 0.160 0.305 O
0.439 0.009 0.842 O
```

Properties
Formation energy (no corrections)   -549 meV per atom
Calculated volume   15.04 Å³/atom
VASP energy   -17.94 eV per atom
Spin magnetization   0.0 μB/cell